First-principles (PBE) data for AgOs2Ru after structural relaxation, as listed in Alexandria via LeMat-Bulk.

Properties
Energy relative to the elements = 0.3364 eV/atom
ΔE to the lowest computed polymorph = 0.50 kcal/mol of atoms

Unit cell a=9.373 b=9.373 c=9.373 alpha=16.80 beta=16.80 gamma=16.80
Positions (direct):
Ag (0.750, 0.750, 0.750)
Os (0.994, 0.994, 0.994)
Os (0.506, 0.506, 0.506)
Ru (0.250, 0.250, 0.250)

***

First-principles (PBE) data for AgOs2Ru after structural relaxation, as listed in Alexandria via LeMat-Bulk.

Properties
Energy relative to the elements = 0.6843 eV/atom
ΔE to the lowest computed polymorph = 8.53 kcal/mol of atoms

Unit cell a=4.878 b=4.878 c=4.878 alpha=133.81 beta=133.81 gamma=67.38
Positions (direct):
Ag (0.750, 0.250, 0.500)
Os (0.000, 0.000, 0.000)
Os (0.500, 0.500, 0.000)
Ru (0.250, 0.750, 0.500)

***

First-principles (PBE) data for AgOs2Ru after structural relaxation, as listed in Alexandria via LeMat-Bulk.

Properties
Energy relative to the elements = 0.6692 eV/atom
ΔE to the lowest computed polymorph = 8.18 kcal/mol of atoms

Unit cell a=4.809 b=4.809 c=4.809 alpha=132.52 beta=132.52 gamma=69.41
Positions (direct):
Ag (0.750, 0.250, 0.500)
Os (0.000, 0.000, 0.000)
Os (0.250, 0.750, 0.500)
Ru (0.500, 0.500, 0.000)

***

First-principles (PBE) data for AgOs2Ru after structural relaxation, as listed in Alexandria via LeMat-Bulk.

Properties
Energy relative to the elements = 0.6731 eV/atom
ΔE to the lowest computed polymorph = 8.27 kcal/mol of atoms

Unit cell a=5.622 b=5.622 c=5.622 alpha=151.81 beta=131.24 gamma=57.28
Positions (direct):
Ag (0.246, 0.746, 0.500)
Os (0.971, 0.971, 0.000)
Os (0.753, 0.253, 0.500)
Ru (0.529, 0.529, 0.000)

***

First-principles (PBE) data for AgOs2Ru after structural relaxation, as listed in Alexandria via LeMat-Bulk.

Properties
Energy relative to the elements = 0.4897 eV/atom
ΔE to the lowest computed polymorph = 4.04 kcal/mol of atoms

Unit cell a=3.865 b=2.742 c=6.294 alpha=64.20 beta=90.00 gamma=90.00
Positions (direct):
Ag (0.500, 0.752, 0.748)
Os (0.000, 0.974, 0.026)
Os (0.500, 0.257, 0.243)
Ru (0.000, 0.518, 0.483)

***

First-principles (PBE) data for Ag2OsRu after structural relaxation, as listed in Alexandria via LeMat-Bulk.

Properties
Energy relative to the elements = 0.7026 eV/atom
ΔE to the lowest computed polymorph = 8.86 kcal/mol of atoms

Unit cell a=2.782 b=4.641 c=4.942 alpha=90.00 beta=90.00 gamma=90.00
Positions (direct):
Ag (0.000, 0.000, 0.000)
Ag (0.500, 0.500, 0.000)
Os (0.500, 0.000, 0.500)
Ru (0.000, 0.500, 0.500)

***

First-principles (PBE) data for AgOs2RuS after structural relaxation, as listed in Alexandria via LeMat-Bulk.

Properties
Uncorrected formation energy = 0.965 eV per atom

Unit cell a=4.354 b=4.351 c=4.354 alpha=90.00 beta=90.00 gamma=90.00
Each line ends with the local moment (μB).
Positions (direct):
Ru (0.000, 0.500, 0.000)  0.34
S (0.000, 0.000, 0.000)  -0.01
Os (0.000, 0.000, 0.500)  0.31
Os (0.500, 0.000, 0.000)  0.51
Ag (0.500, 0.500, 0.500)  0.06

***

First-principles (PBE) data for AgOsRuS2 after structural relaxation, as listed in Alexandria via LeMat-Bulk.

Properties
Uncorrected formation energy = 1.184 eV per atom

Unit cell a=4.448 b=5.245 c=4.448 alpha=90.00 beta=90.00 gamma=90.00
Each line ends with the local moment (μB).
Positions (direct):
Ru (0.500, 0.500, 0.500)  2.34
S (0.000, 0.000, 0.500)  0.04
S (0.500, 0.000, 0.000)  0.00
Os (0.000, 0.000, 0.000)  -0.12
Ag (0.000, 0.500, 0.000)  0.01

***

no.,size of the total moment (μB per cell)
1,0.00
2,0.00
3,0.00
4,0.00
5,0.00
6,0.00
7,1.23
8,2.42